Entry 1:
Entry from Alexandria via LeMat-Bulk: a geometry-optimized CsP3C structure (PBE).

Structure (CIF):
```
data_CsP3C
_cell_length_a 4.5446
_cell_length_b 4.5446
_cell_length_c 4.5446
_cell_angle_alpha 90.00
_cell_angle_beta 90.00
_cell_angle_gamma 90.00
_space_group_name_H-M_alt 'P 1'
_space_group_IT_number 1
_space_group_name_Hall 'P 1'
loop_
_atom_site_label
_atom_site_type_symbol
_atom_site_fract_x
_atom_site_fract_y
_atom_site_fract_z
Cs1 Cs 0.5000 0.5000 0.5000
P1 P 0.5000 0.0000 0.0000
P2 P 0.0000 0.0000 0.5000
P3 P 0.0000 0.5000 0.0000
C1 C 0.0000 0.0000 0.0000
```

Summary:
* crystal system: cubic
* formation energy from the elements: 1.41 eV/atom

***

Entry 2:
Entry from Alexandria via LeMat-Bulk: a geometry-optimized Ta2TiPb structure (PBE).

Structure (CIF):
```
data_Ta2TiPb
_cell_length_a 4.0032
_cell_length_b 4.0032
_cell_length_c 10.7472
_cell_angle_alpha 79.27
_cell_angle_beta 79.27
_cell_angle_gamma 90.00
_space_group_name_H-M_alt 'P 1'
_space_group_IT_number 1
_space_group_name_Hall 'P 1'
loop_
_atom_site_label
_atom_site_type_symbol
_atom_site_fract_x
_atom_site_fract_y
_atom_site_fract_z
Ta1 Ta 0.8750 0.8673 0.7500
Ta2 Ta 0.6173 0.1250 0.2500
Pb1 Pb 0.0000 0.0000 0.0000
Ti1 Ti 0.2500 0.7500 0.5000
Ta3 Ta 0.3750 0.3827 0.7500
Ti2 Ti 0.5000 0.5000 0.0000
Pb2 Pb 0.7500 0.2500 0.5000
Ta4 Ta 0.1327 0.6250 0.2500
```

Summary:
* crystal system: tetragonal
* formation energy from the elements: 0.63 eV/atom

***

Entry 3:
Entry from Alexandria via LeMat-Bulk: a geometry-optimized RbAlS2 structure (PBE).

Structure (CIF):
```
data_RbAlS2
_cell_length_a 3.6820
_cell_length_b 3.6820
_cell_length_c 8.0574
_cell_angle_alpha 90.00
_cell_angle_beta 90.00
_cell_angle_gamma 120.00
_space_group_name_H-M_alt 'P 1'
_space_group_IT_number 1
_space_group_name_Hall 'P 1'
loop_
_atom_site_label
_atom_site_type_symbol
_atom_site_fract_x
_atom_site_fract_y
_atom_site_fract_z
Rb1 Rb 0.3333 0.6667 0.4524
Al1 Al 0.0000 0.0000 0.9954
S1 S 0.3333 0.6667 0.8432
S2 S 0.6667 0.3333 0.1640
```

Summary:
* crystal system: trigonal
* formation energy (no corrections): -96 kJ/mol of atoms

***

Entry 4:
Entry from Alexandria via LeMat-Bulk: a geometry-optimized Hf4Ti2Tl structure (PBE).

Structure (CIF):
```
data_Hf4Ti2Tl
_cell_length_a 9.5940
_cell_length_b 9.5940
_cell_length_c 9.5940
_cell_angle_alpha 53.55
_cell_angle_beta 142.85
_cell_angle_gamma 142.85
_space_group_name_H-M_alt 'P 1'
_space_group_IT_number 1
_space_group_name_Hall 'P 1'
loop_
_atom_site_label
_atom_site_type_symbol
_atom_site_fract_x
_atom_site_fract_y
_atom_site_fract_z
Hf1 Hf 0.8284 0.8034 0.3034
Ti1 Ti 0.2086 0.8543 0.3543
Tl1 Tl 0.0000 0.7500 0.7500
Hf2 Hf 0.5000 0.0250 0.1966
Hf3 Hf 0.1716 0.1966 0.6966
Hf4 Hf 0.1716 0.4750 0.9750
Hf5 Hf 0.5000 0.6966 0.5250
Tl2 Tl 0.0000 0.2500 0.2500
Hf6 Hf 0.5000 0.3034 0.4750
Ti2 Ti 0.7914 0.1457 0.6457
Hf7 Hf 0.5000 0.9750 0.8034
Ti3 Ti 0.5000 0.3543 0.1457
Ti4 Ti 0.5000 0.6457 0.8543
Hf8 Hf 0.8284 0.5250 0.0250
```

Summary:
* crystal system: tetragonal
* formation energy from the elements: 0.38 eV/atom
* polymorph energy (0 for the lowest one): 0 meV/atom

***

Entry 5:
Entry from Alexandria via LeMat-Bulk: a geometry-optimized PaMnC structure (PBE).

Structure (CIF):
```
data_PaMnC
_cell_length_a 2.8343
_cell_length_b 2.8343
_cell_length_c 5.1914
_cell_angle_alpha 105.84
_cell_angle_beta 105.84
_cell_angle_gamma 90.00
_space_group_name_H-M_alt 'P 1'
_space_group_IT_number 1
_space_group_name_Hall 'P 1'
loop_
_atom_site_label
_atom_site_type_symbol
_atom_site_fract_x
_atom_site_fract_y
_atom_site_fract_z
Mn1 Mn 0.2824 0.2824 0.5648
C1 C 0.7093 0.7093 0.4186
Pa1 Pa 0.0083 0.0083 0.0166
```

Summary:
* crystal system: tetragonal
* formation energy from the elements: 0.30 eV/atom
* polymorph energy (0 for the lowest one): 406 meV/atom

***

Entry 6:
Entry from Alexandria via LeMat-Bulk: a geometry-optimized Cd6InHg12 structure (PBE).

Structure (CIF):
```
data_Cd6InHg12
_cell_length_a 8.6928
_cell_length_b 8.6928
_cell_length_c 8.6928
_cell_angle_alpha 109.34
_cell_angle_beta 109.34
_cell_angle_gamma 109.34
_space_group_name_H-M_alt 'P 1'
_space_group_IT_number 1
_space_group_name_Hall 'P 1'
loop_
_atom_site_label
_atom_site_type_symbol
_atom_site_fract_x
_atom_site_fract_y
_atom_site_fract_z
Hg1 Hg 0.9568 0.6571 0.7045
Cd1 Cd 0.3361 0.7088 0.6575
Cd2 Cd 0.6575 0.3361 0.7088
Cd3 Cd 0.2912 0.3425 0.6639
Cd4 Cd 0.3425 0.6639 0.2912
Hg2 Hg 0.6571 0.7045 0.9568
Hg3 Hg 0.2955 0.0432 0.3429
Hg4 Hg 0.3429 0.2955 0.0432
Hg5 Hg 0.8505 0.0555 0.3958
Hg6 Hg 0.9445 0.6042 0.1495
Hg7 Hg 0.6042 0.1495 0.9445
Hg8 Hg 0.0432 0.3429 0.2955
Hg9 Hg 0.1495 0.9445 0.6042
Cd5 Cd 0.7088 0.6575 0.3361
In1 In 0.0000 0.0000 0.0000
Hg10 Hg 0.3958 0.8505 0.0555
Hg11 Hg 0.0555 0.3958 0.8505
Hg12 Hg 0.7045 0.9568 0.6571
Cd6 Cd 0.6639 0.2912 0.3425
```

Summary:
* crystal system: trigonal
* formation energy from the elements: 0.03 eV/atom
* polymorph energy (0 for the lowest one): 0 meV/atom

***

Number 1: M_tot 0.00 Bohr magnetons per cell. Number 2: M_tot 0.00 Bohr magnetons per cell. Number 3: M_tot 0.00 Bohr magnetons per cell. Number 4: M_tot 0.00 Bohr magnetons per cell. Number 5: M_tot 0.46 Bohr magnetons per cell. Number 6: M_tot 0.00 Bohr magnetons per cell.